The following is a DFT calculation (GGA-PBE) of an optimized crystal structure of DyErAg6.

abc: 5.016 6.112 5.209
angles: 90.00 90.00 90.00
Fractional coordinates of all 8 atoms:
Ag: 0.000 0.500 0.177
Ag: 0.500 0.248 0.341
Ag: 0.500 0.752 0.341
Ag: 0.000 0.257 0.660
Ag: 0.000 0.743 0.660
Ag: 0.500 0.000 0.820
Dy: 0.000 0.000 0.154
Er: 0.500 0.500 0.847

Values from the calculation:
space group	No. 25
uncorrected energy	-28.27	eV/cell
total moment	0.00	μB per atom
density	10158	kg/m³
calculated formation energy	-0.27	eV/atom